1.
{
  "formula": "HoTmSi4",
  "functional": "PBE",
  "state": "relaxed",
  "lattice_angstrom": [[4.190, 0.000, 0.000], [0.000, 8.820, 0.000], [0.000, 0.000, 13.525]],
  "species": ["Si", "Si", "Si", "Si", "Si", "Si", "Si", "Si", "Si", "Si", "Si", "Si", "Si", "Si", "Si", "Si", "Ho", "Ho", "Ho", "Ho", "Tm", "Tm", "Tm", "Tm"],
  "frac_coords": [[0.500, 0.597, 0.936], [0.500, 0.359, 0.493], [0.500, 0.141, 0.993], [0.500, 0.315, 0.317], [0.500, 0.641, 0.507], [0.500, 0.185, 0.817], [0.500, 0.903, 0.436], [0.500, 0.685, 0.683], [0.500, 0.542, 0.216], [0.500, 0.859, 0.007], [0.500, 0.097, 0.564], [0.500, 0.403, 0.064], [0.500, 0.815, 0.183], [0.500, 0.458, 0.784], [0.500, 0.042, 0.284], [0.500, 0.958, 0.716], [0.000, 0.958, 0.868], [0.000, 0.458, 0.632], [0.000, 0.542, 0.368], [0.000, 0.042, 0.132], [0.000, 0.854, 0.584], [0.000, 0.354, 0.916], [0.000, 0.646, 0.084], [0.000, 0.146, 0.416]],
  "magmom_total_mub_per_cell": 0.0
}

2.
{
  "formula": "HoTm4Si4",
  "functional": "PBE",
  "state": "relaxed",
  "lattice_angstrom": [[-1.844, -5.349, 0.295], [1.536, -1.012, -8.744], [8.308, -2.766, 1.780]],
  "species": ["Si", "Si", "Si", "Si", "Si", "Si", "Si", "Si", "Tm", "Tm", "Tm", "Tm", "Tm", "Tm", "Tm", "Tm", "Ho", "Ho"],
  "frac_coords": [[0.121, 0.142, 0.279], [0.379, 0.642, 0.779], [0.879, 0.721, 0.142], [0.621, 0.221, 0.642], [0.879, 0.279, 0.858], [0.621, 0.779, 0.358], [0.121, 0.858, 0.721], [0.379, 0.358, 0.221], [0.622, 0.098, 0.336], [0.878, 0.402, 0.164], [0.378, 0.664, 0.098], [0.378, 0.336, 0.902], [0.622, 0.902, 0.664], [0.878, 0.598, 0.836], [0.122, 0.836, 0.402], [0.122, 0.164, 0.598], [0.000, 0.000, 0.000], [0.500, 0.500, 0.500]],
  "magmom_total_mub_per_cell": 0.0
}

3.
{
  "formula": "Ho2Tm3Si4",
  "functional": "PBE",
  "state": "relaxed",
  "lattice_angstrom": [[7.292, 0.086, 0.000], [-2.314, 7.212, 0.000], [0.000, 0.000, 7.618]],
  "species": ["Tm", "Tm", "Tm", "Tm", "Tm", "Tm", "Si", "Si", "Si", "Si", "Si", "Si", "Si", "Si", "Ho", "Ho", "Ho", "Ho"],
  "frac_coords": [[0.252, 0.244, 0.681], [0.248, 0.756, 0.181], [0.748, 0.756, 0.319], [0.500, 0.500, 0.000], [0.752, 0.244, 0.819], [0.000, 0.500, 0.500], [0.875, 0.488, 0.122], [0.129, 0.921, 0.470], [0.371, 0.079, 0.970], [0.625, 0.512, 0.622], [0.629, 0.921, 0.030], [0.871, 0.079, 0.530], [0.375, 0.488, 0.378], [0.125, 0.512, 0.878], [0.582, 0.197, 0.320], [0.918, 0.803, 0.820], [0.082, 0.197, 0.180], [0.418, 0.803, 0.680]],
  "magmom_total_mub_per_cell": 0.0
}

4.
{
  "formula": "HoTmSi3",
  "functional": "PBE",
  "state": "relaxed",
  "lattice_angstrom": [[3.917, 0.000, 0.000], [0.000, 4.004, -0.766], [0.000, 0.291, 12.376]],
  "species": ["Si", "Si", "Si", "Si", "Si", "Si", "Ho", "Ho", "Tm", "Tm"],
  "frac_coords": [[0.250, 0.380, 0.760], [0.750, 0.321, 0.642], [0.250, 0.475, 0.950], [0.750, 0.620, 0.240], [0.750, 0.525, 0.050], [0.250, 0.679, 0.358], [0.750, 0.930, 0.860], [0.250, 0.070, 0.140], [0.750, 0.203, 0.406], [0.250, 0.797, 0.594]],
  "magmom_total_mub_per_cell": 0.0
}

5.
{
  "formula": "HoTm3Si4",
  "functional": "PBE",
  "state": "relaxed",
  "lattice_angstrom": [[-3.153, -2.229, -0.562], [0.559, 0.756, -6.133], [5.775, -5.507, 2.988]],
  "species": ["Tm", "Tm", "Tm", "Si", "Si", "Si", "Si", "Ho"],
  "frac_coords": [[0.806, 0.805, 0.611], [0.000, 0.500, 0.000], [0.194, 0.195, 0.389], [0.368, 0.554, 0.736], [0.632, 0.446, 0.264], [0.368, 0.181, 0.736], [0.632, 0.819, 0.264], [0.500, 0.000, 0.000]],
  "magmom_total_mub_per_cell": 0.0
}

6.
{
  "formula": "HoTmSi2",
  "functional": "PBE",
  "state": "relaxed",
  "lattice_angstrom": [[-0.251, 4.471, -0.733], [-2.146, 1.580, -3.673], [-5.096, 2.200, 1.120]],
  "species": ["Si", "Si", "Tm", "Ho"],
  "frac_coords": [[0.252, 0.252, 0.244], [0.748, 0.748, 0.756], [0.000, 0.000, 0.000], [0.500, 0.500, 0.500]],
  "de_polymorph_ev_per_fu": 1.22,
  "magmom_total_mub_per_cell": 0.0
}

7.
{
  "formula": "Ho3Tm3Si4",
  "functional": "PBE",
  "state": "relaxed",
  "lattice_angstrom": [[-1.315, 3.944, -0.509], [-6.879, -2.068, 1.748], [1.385, 1.381, 7.129]],
  "species": ["Si", "Si", "Si", "Si", "Tm", "Tm", "Tm", "Ho", "Ho", "Ho"],
  "frac_coords": [[0.000, 0.617, 0.383], [0.000, 0.381, 0.619], [0.000, 0.118, 0.117], [0.000, 0.883, 0.882], [0.000, 0.000, 0.500], [0.500, 0.176, 0.824], [0.000, 0.500, 0.000], [0.500, 0.676, 0.676], [0.500, 0.825, 0.175], [0.500, 0.324, 0.324]],
  "magmom_total_mub_per_cell": 0.0
}

8.
{
  "formula": "HoV4Si4",
  "functional": "PBE",
  "state": "relaxed",
  "lattice_angstrom": [[4.662, 0.000, 0.000], [0.000, 8.054, 0.000], [0.000, 0.000, 8.054]],
  "species": ["Si", "Si", "Si", "Si", "Si", "Si", "Si", "Si", "V", "V", "V", "V", "V", "V", "V", "V", "Ho", "Ho"],
  "frac_coords": [[0.083, 0.801, 0.660], [0.417, 0.699, 0.840], [0.917, 0.340, 0.801], [0.083, 0.199, 0.340], [0.917, 0.660, 0.199], [0.417, 0.301, 0.160], [0.583, 0.160, 0.699], [0.583, 0.840, 0.301], [0.904, 0.621, 0.887], [0.096, 0.887, 0.379], [0.596, 0.879, 0.613], [0.404, 0.387, 0.879], [0.596, 0.121, 0.387], [0.904, 0.379, 0.113], [0.096, 0.113, 0.621], [0.404, 0.613, 0.121], [0.500, 0.500, 0.500], [0.000, 0.000, 0.000]],
  "magmom_total_mub_per_cell": 0.0
}

no.,DFT total energy (eV/atom),formation energy (no corrections) (eV/atom)
1,-5.515,-0.3913
2,-5.378,-0.4718
3,-5.676,-0.7578
4,-5.718,-0.6540
5,-5.496,-0.5356
6,-5.490,-0.5162
7,-5.599,-0.7152
8,-7.269,-0.2976